(1)
VASP calculation (PBE) on an optimized crystal structure of Co2HgTe.

The space group is Pmm2 (No. 25) and the conventional cell measures 3.071, 3.328 and 7.364 Å, with angles of 90.00, 90.00 and 90.00 degrees. The asymmetric unit holds Co at (0.000, 0.000, 0.000), Co at (0.500, 0.500, 0.161), Hg at (0.500, 0.500, 0.779) and Te at (0.000, 0.000, 0.347).

The value obtained for the offset from the most stable computed form is 0.029 eV per atom. Its uncorrected formation energy is 0.31 eV/atom.

---

(2)
VASP calculation (PBE) on an optimized crystal structure of Pr3YHo2.

The space group is C2/m (No. 12) and the conventional cell measures 13.325, 3.571 and 17.859 Å, with angles of 90.00, 102.50 and 90.00 degrees. The asymmetric unit holds Pr at (0.068, 0.000, 0.168), Pr at (0.128, 0.500, 0.990), Pr at (0.233, 0.500, 0.338), Y at (0.041, 0.500, 0.681), Ho at (0.133, 0.500, 0.501) and Ho at (0.197, 0.000, 0.834).

The value obtained for the offset from the most stable computed form is 0.000 eV per atom. Its formation energy is 0.109 eV per atom.

---

(3)
VASP calculation (PBE) on an optimized crystal structure of CoHg2As.

The space group is I-4m2 (No. 119) and the conventional cell measures 4.174, 4.174 and 8.613 Å, with angles of 90.00, 90.00 and 90.00 degrees. The asymmetric unit holds Co at (0.000, 0.000, 0.000), Hg at (0.000, 0.000, 0.500), Hg at (0.000, 0.500, 0.750) and As at (0.000, 0.500, 0.250).

Its formation energy is 0.531 eV per atom.

---

(4)
VASP calculation (PBE) on an optimized crystal structure of NbHRh3.

The space group is R-3 (No. 148, hexagonal axes) and the conventional cell measures 4.8686, 4.8686 and 19.8031 Å, with angles of 90.00, 90.00 and 120.00 degrees. The asymmetric unit holds Nb at (0.0000, 0.0000, 0.1663), H at (0.0000, 0.0000, 0.4346) and Rh at (0.0009, 0.3395, 0.6061).

The value obtained for the offset from the most stable computed form is 0.423 eV per atom.

---

(5)
VASP calculation (PBE) on an optimized crystal structure of KRbTl2I8.

The space group is I-4 (No. 82) and the conventional cell measures 7.956, 7.956 and 18.899 Å, with angles of 90.00, 90.00 and 90.00 degrees. The asymmetric unit holds K at (0.000, 0.000, 0.000), Rb at (0.000, 0.500, 0.250), Tl at (0.000, 0.000, 0.500), Tl at (0.000, 0.500, 0.750), I at (0.158, 0.751, 0.835) and I at (0.164, 0.252, 0.418).

Its uncorrected formation energy is -0.67 eV/atom.

---

(6)
VASP calculation (PBE) on an optimized crystal structure of Ti2Al5CoCu2.

The space group is P4/mbm (No. 127) and the conventional cell measures 9.707, 9.707 and 3.083 Å, with angles of 90.00, 90.00 and 90.00 degrees. The asymmetric unit holds Ti at (0.176, 0.324, 0.000), Al at (0.000, 0.500, 0.500), Al at (0.050, 0.808, 0.500), Co at (0.000, 0.000, 0.000) and Cu at (0.133, 0.633, 0.000).

Its formation energy is -0.294 eV per atom.

---

(7)
VASP calculation (PBE) on an optimized crystal structure of Ac2CuRu2.

The space group is C2/c (No. 15) and the conventional cell measures 9.452, 5.834 and 8.698 Å, with angles of 90.00, 103.35 and 90.00 degrees. The asymmetric unit holds Ac at (0.149, 0.141, 0.150), Cu at (0.000, 0.381, 0.750) and Ru at (0.134, 0.369, 0.508).

Its formation energy is -0.013 eV per atom.

---

(8)
VASP calculation (PBE) on an optimized crystal structure of MnZn2Ag.

The space group is Cm (No. 8) and the conventional cell measures 4.917, 2.843 and 8.938 Å, with angles of 90.00, 100.40 and 90.00 degrees. The asymmetric unit holds Mn at (0.000, 0.000, 0.000), Zn at (0.087, 0.500, 0.762), Zn at (0.413, 0.000, 0.238) and Ag at (0.333, 0.500, 0.499).

Its formation energy is 0.082 eV per atom.

---

(9)
VASP calculation (PBE) on an optimized crystal structure of ErZrSb.

The space group is I4mm (No. 107) and the conventional cell measures 3.796, 3.796 and 10.316 Å, with angles of 90.00, 90.00 and 90.00 degrees. The asymmetric unit holds Er at (0.000, 0.000, 0.000), Zr at (0.000, 0.000, 0.317) and Sb at (0.000, 0.000, 0.676).

Its uncorrected formation energy is -0.57 eV/atom.

---

(10)
VASP calculation (PBE) on an optimized crystal structure of ThH2I2.

The space group is R-3m (No. 166, hexagonal axes) and the conventional cell measures 3.9698, 3.9698 and 27.5202 Å, with angles of 90.00, 90.00 and 120.00 degrees. The asymmetric unit holds Th at (0.0000, 0.0000, 0.0000), H at (0.0000, 0.0000, 0.3181) and I at (0.0000, 0.0000, 0.4207).

The total energy comes out at -4.386 eV per atom.

---

(11)
VASP calculation (PBE) on an optimized crystal structure of Hf2Ti2Tl.

The space group is P4/mbm (No. 127) and the conventional cell measures 7.599, 7.599 and 3.667 Å, with angles of 90.00, 90.00 and 90.00 degrees. The asymmetric unit holds Hf at (0.135, 0.365, 0.000), Ti at (0.159, 0.659, 0.500) and Tl at (0.000, 0.000, 0.000).

The value obtained for the offset from the most stable computed form is 0.155 eV per atom. Its formation energy is 0.244 eV per atom.

---

(12)
VASP calculation (PBE) on an optimized crystal structure of CaCuNiAs2.

The space group is I-4m2 (No. 119) and the conventional cell measures 4.110, 4.110 and 10.315 Å, with angles of 90.00, 90.00 and 90.00 degrees. The asymmetric unit holds Ca at (0.000, 0.000, 0.000), Cu at (0.000, 0.500, 0.750), Ni at (0.000, 0.500, 0.250) and As at (0.000, 0.000, 0.373).

Its formation energy is -0.569 eV per atom.

---

(13)
VASP calculation (PBE) on an optimized crystal structure of CsPCl2F.

The space group is P4/mmm (No. 123) and the conventional cell measures 5.791, 5.791 and 6.137 Å, with angles of 90.00, 90.00 and 90.00 degrees. The asymmetric unit holds Cs at (0.000, 0.000, 0.000), P at (0.000, 0.000, 0.500), Cl at (0.000, 0.500, 0.000) and F at (0.500, 0.500, 0.500).

The value obtained for the offset from the most stable computed form is 1.236 eV per atom. Its uncorrected formation energy is 0.51 eV/atom.

---

(14)
VASP calculation (PBE) on an optimized crystal structure of CdInHg4.

The space group is P2_1/m (No. 11) and the conventional cell measures 5.838, 8.769 and 7.184 Å, with angles of 90.00, 108.90 and 90.00 degrees. The asymmetric unit holds Cd at (0.198, 0.250, 0.032), In at (0.204, 0.250, 0.568), Hg at (0.077, 0.506, 0.267), Hg at (0.343, 0.750, 0.057) and Hg at (0.364, 0.750, 0.602).

The value obtained for the offset from the most stable computed form is 0.019 eV per atom. Its formation energy is 0.041 eV per atom.

---

(15)
VASP calculation (PBE) on an optimized crystal structure of CaScSb2.

The space group is P2/m (No. 10) and the conventional cell measures 3.401, 3.963 and 7.963 Å, with angles of 90.00, 99.23 and 90.00 degrees. The asymmetric unit holds Ca at (0.000, 0.000, 0.000), Sc at (0.000, 0.000, 0.500) and Sb at (0.465, 0.500, 0.731).

The value obtained for the offset from the most stable computed form is 0.093 eV per atom. Its uncorrected formation energy is -0.75 eV/atom.

---

(16)
VASP calculation (PBE) on an optimized crystal structure of AgC2.

The space group is P-3m1 (No. 164) and the conventional cell measures 3.4793, 3.4793 and 12.3575 Å, with angles of 90.00, 90.00 and 120.00 degrees. The asymmetric unit holds Ag at (0.0000, 0.0000, 0.0000), Ag at (0.3333, 0.6667, 0.3596), C at (0.0000, 0.0000, 0.4480), C at (0.3333, 0.6667, 0.0878) and C at (0.3333, 0.6667, 0.1906).

The value obtained for the offset from the most stable computed form is 1.333 eV per atom. Its formation energy is 1.665 eV per atom.

---

(17)
VASP calculation (PBE) on an optimized crystal structure of ZrZnSb4.

The space group is F-43m (No. 216) and the conventional cell measures 8.646, 8.646 and 8.646 Å, with angles of 90.00, 90.00 and 90.00 degrees. The asymmetric unit holds Zr at (0.000, 0.000, 0.000), Zn at (0.250, 0.250, 0.250) and Sb at (0.125, 0.125, 0.625).

Its uncorrected formation energy is 0.42 eV/atom.

---

(18)
VASP calculation (PBE) on an optimized crystal structure of Li2ScAu.

The space group is I-4m2 (No. 119) and the conventional cell measures 4.419, 4.419 and 7.194 Å, with angles of 90.00, 90.00 and 90.00 degrees. The asymmetric unit holds Li at (0.000, 0.000, 0.000), Li at (0.000, 0.500, 0.250), Sc at (0.000, 0.500, 0.750) and Au at (0.000, 0.000, 0.500).

The value obtained for the offset from the most stable computed form is 0.000 eV per atom. Its formation energy is -0.362 eV per atom.

---

(19)
VASP calculation (PBE) on an optimized crystal structure of CuIr.

The space group is Fddd (No. 70, origin choice 2) and the conventional cell measures 4.187, 7.601 and 14.699 Å, with angles of 90.00, 90.00 and 90.00 degrees. The asymmetric unit holds Cu at (0.125, 0.289, 0.125) and Ir at (0.125, 0.125, 0.540).

Its formation energy is 0.344 eV per atom.

---

(20)
VASP calculation (PBE) on an optimized crystal structure of LaDyRhI.

The space group is R3m (No. 160, hexagonal axes) and the conventional cell measures 4.1356, 4.1356 and 24.4527 Å, with angles of 90.00, 90.00 and 120.00 degrees. The asymmetric unit holds La at (0.0000, 0.0000, 0.0000), Dy at (0.0000, 0.0000, 0.7889), Rh at (0.0000, 0.0000, 0.3968) and I at (0.0000, 0.0000, 0.2228).

Its uncorrected formation energy is -0.99 eV/atom.

---

| no. | total magnetic moment (Bohr magnetons per cell) | theoretical density (g/cm3) |
| --- | --- | --- |
| 1 | 2.40 | 9.84 |
| 2 | 0.00 | 6.74 |
| 3 | 2.97 | 11.84 |
| 4 | 0.00 | 9.87 |
| 5 | 0.00 | 4.30 |
| 6 | 0.00 | 4.76 |
| 7 | 0.00 | 10.24 |
| 8 | 6.46 | 7.93 |
| 9 | 0.00 | 8.49 |
| 10 | 0.00 | 6.47 |
| 11 | 0.00 | 10.30 |
| 12 | 0.00 | 5.95 |
| 13 | 1.95 | 2.05 |
| 14 | 0.00 | 9.83 |
| 15 | 0.00 | 5.15 |
| 16 | 0.00 | 5.07 |
| 17 | 0.00 | 6.61 |
| 18 | 0.00 | 6.05 |
| 19 | 0.01 | 14.53 |
| 20 | 0.00 | 7.31 |